Computed, not measured: Zr6AgAu after structural relaxation at the PBE level of DFT.

Output
magnetic moment	0.000	μB/f.u.
DFT formation energy	-0.190	eV per atom
offset from the most stable computed form	0.000	eV/atom
space-group type	No. 139
ρ	8.13	g/cm³

Unit cell a=4.5491 b=4.5491 c=9.0002 alpha=75.36 beta=75.36 gamma=90.00
Sites, in units of the cell vectors:
Au 0.5000 0.5000 0.0000
Zr 0.3810 0.8810 0.2381
Zr 0.1190 0.6190 0.7619
Zr 0.8810 0.3810 0.2381
Zr 0.7509 0.7509 0.4982
Zr 0.6190 0.1190 0.7619
Ag 0.0000 0.0000 0.0000
Zr 0.2491 0.2491 0.5018


Computed, not measured: RbBPb2S4 after structural relaxation at the PBE level of DFT.

Output
magnetic moment	0.000	μB/f.u.
energy relative to the elements, uncorrected	-0.440	eV per atom
space-group type	No. 15
ρ	4.33	g/cm³

Unit cell a=8.1880 b=8.1880 c=15.7053 alpha=136.64 beta=136.64 gamma=63.12
Sites, in units of the cell vectors:
B 0.5000 0.5000 0.5000
Pb 0.5000 0.5000 0.0000
Rb 0.0000 0.5000 0.5000
S 0.1355 0.8179 0.9216
Pb 0.0000 0.0000 0.5000
S 0.4145 0.3803 0.7396
Rb 0.0000 0.5000 0.0000
Pb 0.5000 0.0000 0.0000
S 0.8645 0.1821 0.0784
B 0.0000 0.0000 0.0000
S 0.6821 0.3645 0.5784
S 0.1197 0.0855 0.7604
Pb 0.5000 0.0000 0.5000
S 0.5855 0.6197 0.2604
S 0.8803 0.9145 0.2396
S 0.3179 0.6355 0.4216


Computed, not measured: InMo2Rh after structural relaxation at the PBE level of DFT.

Output
magnetic moment	0.000	μB/f.u.
DFT formation energy	0.147	eV per atom
space-group type	No. 123
ρ	10.31	g/cm³

Unit cell a=2.8114 b=2.8114 c=8.3493 alpha=90.00 beta=90.00 gamma=90.03
Sites, in units of the cell vectors:
Mo 0.0000 0.0000 0.0200
In 0.5000 0.5000 0.7500
Rh 0.5000 0.5000 0.2500
Mo 0.0000 0.0000 0.4800


Computed, not measured: ReRu2Br after structural relaxation at the PBE level of DFT.

Output
magnetic moment	0.823	μB/f.u.
energy relative to the elements, uncorrected	1.166	eV per atom
offset from the most stable computed form	0.655	eV/atom
space-group type	No. 225
ρ	12.37	g/cm³

Unit cell a=4.4634 b=4.4634 c=4.4634 alpha=60.00 beta=60.00 gamma=60.00
Each line ends with the local moment (μB).
Sites, in units of the cell vectors:
Ru 0.2500 0.2500 0.2500  0.53
Ru 0.7500 0.7500 0.7500  0.53
Br 0.0000 0.0000 0.0000  0.02
Re 0.5000 0.5000 0.5000  -0.24


Computed, not measured: La5Ni2Au2 after structural relaxation at the PBE level of DFT.

Output
magnetic moment	0.000	μB/f.u.
DFT formation energy	-0.468	eV per atom
space-group type	No. 64
ρ	8.22	g/cm³

Unit cell a=7.2934 b=8.5971 c=8.5858 alpha=90.00 beta=64.87 gamma=90.00
Sites, in units of the cell vectors:
La 0.2217 0.1744 0.2575
Ni 0.6307 0.1068 0.0000
Au 0.2947 0.5000 0.4107
La 0.9792 0.3256 0.7425
La 0.0000 0.0000 0.0000
Au 0.2053 0.0000 0.5893
La 0.2783 0.6744 0.7425
La 0.5000 0.5000 0.0000
La 0.4792 0.1744 0.7425
Ni 0.1307 0.3932 0.0000
Au 0.7947 0.0000 0.4107
La 0.7783 0.8256 0.7425
Au 0.7053 0.5000 0.5893
La 0.7217 0.3256 0.2575
Ni 0.3693 0.8932 0.0000
La 0.0208 0.6744 0.2575
La 0.5208 0.8256 0.2575
Ni 0.8693 0.6068 0.0000


magnetic moment of number 4 (ReRu2Br)? 0.823 μB/f.u.


What did the second record say?
Computed, not measured: RbBPb2S4 after structural relaxation at the PBE level of DFT.

Output
magnetic moment	0.000	μB/f.u.
energy relative to the elements, uncorrected	-0.440	eV per atom
space-group type	No. 15
ρ	4.33	g/cm³

Unit cell a=8.1880 b=8.1880 c=15.7053 alpha=136.64 beta=136.64 gamma=63.12
Sites, in units of the cell vectors:
B 0.5000 0.5000 0.5000
Pb 0.5000 0.5000 0.0000
Rb 0.0000 0.5000 0.5000
S 0.1355 0.8179 0.9216
Pb 0.0000 0.0000 0.5000
S 0.4145 0.3803 0.7396
Rb 0.0000 0.5000 0.0000
Pb 0.5000 0.0000 0.0000
S 0.8645 0.1821 0.0784
B 0.0000 0.0000 0.0000
S 0.6821 0.3645 0.5784
S 0.1197 0.0855 0.7604
Pb 0.5000 0.0000 0.5000
S 0.5855 0.6197 0.2604
S 0.8803 0.9145 0.2396
S 0.3179 0.6355 0.4216